Arrangement A

SmDyCuRu | PBE | optimized geometry

## Properties
- Density: 9.054 g/cm3
- SG: Amm2

a = 4.3065 Å, b = 5.6091 Å, c = 5.6091 Å
α = 40.27°, β = 90.00°, γ = 90.00°
Sites, in units of the cell vectors:
1 Sm 0.0000 0.0000 0.0000
2 Dy 0.5000 0.2819 0.2819
3 Cu 0.5000 0.5724 0.5724
4 Ru 0.0000 0.7206 0.7206

Arrangement B

SmDyCuRu | PBE | optimized geometry

## Properties
- Density: 9.498 g/cm3
- SG: F-43m

a = 4.9057 Å, b = 4.9057 Å, c = 4.9057 Å
α = 60.00°, β = 60.00°, γ = 60.00°
Sites, in units of the cell vectors:
1 Sm 0.0000 0.0000 0.0000
2 Dy 0.5000 0.5000 0.5000
3 Cu 0.2500 0.2500 0.2500
4 Ru 0.7500 0.7500 0.7500

Sorted by energy, starting with the most stable: arrangement B, arrangement A.

Arrangement A

Dy2CuS | PBE | optimized geometry

## Properties
- Density: 8.095 g/cm3
- SG: Cmcm

a = 11.4200 Å, b = 11.4200 Å, c = 3.9293 Å
α = 90.00°, β = 90.00°, γ = 160.32°
Sites, in units of the cell vectors:
1 Dy 0.0700 0.9300 0.7500
2 Dy 0.3138 0.6862 0.7500
3 Dy 0.6862 0.3138 0.2500
4 Dy 0.9300 0.0700 0.2500
5 Cu 0.4622 0.5378 0.7500
6 Cu 0.5378 0.4622 0.2500
7 S 0.1926 0.8074 0.7500
8 S 0.8074 0.1926 0.2500

Arrangement B

Dy2CuS | PBE | optimized geometry

## Properties
- Density: 7.710 g/cm3
- SG: R3m

a = 7.5051 Å, b = 7.5051 Å, c = 7.5051 Å
α = 29.48°, β = 29.48°, γ = 29.48°
Sites, in units of the cell vectors:
1 Dy 0.0000 0.0000 0.0000
2 Dy 0.1696 0.1696 0.1696
3 Cu 0.5856 0.5856 0.5856
4 S 0.4167 0.4167 0.4167

Sorted by energy, starting with the most stable: arrangement A, arrangement B.

Arrangement A

DySc2Cu | PBE | optimized geometry

## Properties
- Density: 5.792 g/cm3
- SG: P4/mmm

a = 3.3113 Å, b = 3.3113 Å, c = 8.2620 Å
α = 90.00°, β = 90.00°, γ = 90.00°
Sites, in units of the cell vectors:
1 Dy 0.0000 0.0000 0.0000
2 Sc 0.5000 0.5000 0.3075
3 Sc 0.5000 0.5000 0.6925
4 Cu 0.0000 0.0000 0.5000

Arrangement B

DySc2Cu | PBE | optimized geometry

## Properties
- Density: 5.720 g/cm3
- SG: Pnma

a = 6.3782 Å, b = 9.5158 Å, c = 6.0454 Å
α = 90.00°, β = 90.00°, γ = 90.00°
Sites, in units of the cell vectors:
1 Dy 0.0001 0.2500 0.1209
2 Dy 0.9999 0.7500 0.8791
3 Dy 0.5001 0.2500 0.3791
4 Dy 0.4999 0.7500 0.6209
5 Sc 0.1775 0.0492 0.6839
6 Sc 0.1775 0.4508 0.6839
7 Sc 0.3225 0.5492 0.1839
8 Sc 0.3225 0.9508 0.1839
9 Sc 0.6775 0.0492 0.8161
10 Sc 0.6775 0.4508 0.8161
11 Sc 0.8225 0.5492 0.3161
12 Sc 0.8225 0.9508 0.3161
13 Cu 0.0966 0.7500 0.4234
14 Cu 0.4034 0.2500 0.9234
15 Cu 0.5966 0.7500 0.0766
16 Cu 0.9034 0.2500 0.5766

Arrangement C

DySc2Cu | PBE | optimized geometry

## Properties
- Density: 5.678 g/cm3
- SG: Cmcm

a = 5.9537 Å, b = 5.9537 Å, c = 7.2019 Å
α = 90.00°, β = 90.00°, γ = 133.62°
Sites, in units of the cell vectors:
1 Dy 0.0532 0.9468 0.7500
2 Dy 0.9468 0.0532 0.2500
3 Sc 0.3476 0.6524 0.5380
4 Sc 0.3476 0.6524 0.9620
5 Sc 0.6524 0.3476 0.0380
6 Sc 0.6524 0.3476 0.4620
7 Cu 0.2056 0.7944 0.2500
8 Cu 0.7944 0.2056 0.7500

Sorted by energy, starting with the most stable: arrangement B, arrangement C, arrangement A.

Arrangement A

DySc2Cu | PBE | optimized geometry

## Properties
- Density: 5.518 g/cm3
- SG: R3m

a = 9.4535 Å, b = 9.4535 Å, c = 9.4535 Å
α = 21.01°, β = 21.01°, γ = 21.01°
Sites, in units of the cell vectors:
1 Dy 0.0000 0.0000 0.0000
2 Sc 0.2348 0.2348 0.2348
3 Sc 0.4351 0.4351 0.4351
4 Cu 0.8358 0.8358 0.8358

Arrangement B

DySc2Cu | PBE | optimized geometry

## Properties
- Density: 5.550 g/cm3
- SG: R-3m

a = 9.6036 Å, b = 9.6036 Å, c = 9.6036 Å
α = 20.44°, β = 20.44°, γ = 20.44°
Sites, in units of the cell vectors:
1 Dy 0.0000 0.0000 0.0000
2 Sc 0.2335 0.2335 0.2335
3 Sc 0.7665 0.7665 0.7665
4 Cu 0.5000 0.5000 0.5000

Sorted by energy, starting with the most stable: arrangement A, arrangement B.

Arrangement A

Dy2ScCu2 | PBE | optimized geometry

## Properties
- Density: 7.531 g/cm3
- SG: P4/mbm

a = 7.8046 Å, b = 7.8046 Å, c = 3.5987 Å
α = 90.00°, β = 90.00°, γ = 90.00°
Sites, in units of the cell vectors:
1 Dy 0.1697 0.3303 0.0000
2 Dy 0.3303 0.8303 0.0000
3 Dy 0.6697 0.1697 0.0000
4 Dy 0.8303 0.6697 0.0000
5 Sc 0.0000 0.0000 0.5000
6 Sc 0.5000 0.5000 0.5000
7 Cu 0.1235 0.6235 0.5000
8 Cu 0.3765 0.1235 0.5000
9 Cu 0.6235 0.8765 0.5000
10 Cu 0.8765 0.3765 0.5000

Arrangement B

Dy2ScCu2 | PBE | optimized geometry

## Properties
- Density: 7.356 g/cm3
- SG: Immm

a = 6.0292 Å, b = 6.0292 Å, c = 6.0292 Å
α = 144.49°, β = 115.88°, γ = 75.49°
Sites, in units of the cell vectors:
1 Dy 0.2025 0.2025 0.0000
2 Dy 0.7975 0.7975 0.0000
3 Sc 0.5000 0.0000 0.5000
4 Cu 0.1981 0.5000 0.6981
5 Cu 0.8019 0.5000 0.3019

Sorted by energy, starting with the most stable: arrangement A, arrangement B.

Arrangement A

Dy2ScCu | PBE | optimized geometry

## Properties
- Density: 7.466 g/cm3
- SG: P4/mmm

a = 5.1682 Å, b = 5.1682 Å, c = 3.6098 Å
α = 90.00°, β = 90.00°, γ = 90.00°
Sites, in units of the cell vectors:
1 Dy 0.0000 0.5000 0.0000
2 Dy 0.5000 0.0000 0.0000
3 Sc 0.0000 0.0000 0.5000
4 Cu 0.5000 0.5000 0.5000

Arrangement B

Dy2ScCu | PBE | optimized geometry

## Properties
- Density: 7.318 g/cm3
- SG: P4/mmm

a = 3.4395 Å, b = 3.4395 Å, c = 8.3151 Å
α = 90.00°, β = 90.00°, γ = 90.00°
Sites, in units of the cell vectors:
1 Dy 0.0000 0.0000 0.2109
2 Dy 0.0000 0.0000 0.7891
3 Sc 0.5000 0.5000 0.5000
4 Cu 0.5000 0.5000 0.0000

Sorted by energy, starting with the most stable: arrangement B, arrangement A.

Arrangement A

DyScCu2 | PBE | optimized geometry

## Properties
- Density: 7.264 g/cm3
- SG: Fm-3m

a = 4.7644 Å, b = 4.7644 Å, c = 4.7644 Å
α = 60.00°, β = 60.00°, γ = 60.00°
Sites, in units of the cell vectors:
1 Dy 0.0000 0.0000 0.0000
2 Sc 0.5000 0.5000 0.5000
3 Cu 0.2500 0.2500 0.2500
4 Cu 0.7500 0.7500 0.7500

Arrangement B

DyScCu2 | PBE | optimized geometry

## Properties
- Density: 7.309 g/cm3
- SG: P4/mmm

a = 3.3552 Å, b = 3.3552 Å, c = 6.7516 Å
α = 90.00°, β = 90.00°, γ = 90.00°
Sites, in units of the cell vectors:
1 Dy 0.0000 0.0000 0.0000
2 Sc 0.0000 0.0000 0.5000
3 Cu 0.5000 0.5000 0.2792
4 Cu 0.5000 0.5000 0.7208

Sorted by energy, starting with the most stable: arrangement B, arrangement A.

Arrangement A

TbDyCuSi | PBE | optimized geometry

## Properties
- Density: 7.707 g/cm3
- SG: Amm2

a = 4.0879 Å, b = 5.7247 Å, c = 5.7247 Å
α = 41.63°, β = 90.00°, γ = 90.00°
Sites, in units of the cell vectors:
1 Tb 0.0000 0.0000 0.0000
2 Dy 0.5000 0.2803 0.2803
3 Cu 0.5000 0.5757 0.5757
4 Si 0.0000 0.7133 0.7133

Arrangement B

TbDyCuSi | PBE | optimized geometry

## Properties
- Density: 8.038 g/cm3
- SG: F-43m

a = 4.9418 Å, b = 4.9418 Å, c = 4.9418 Å
α = 60.00°, β = 60.00°, γ = 60.00°
Sites, in units of the cell vectors:
1 Tb 0.0000 0.0000 0.0000
2 Dy 0.5000 0.5000 0.5000
3 Cu 0.7500 0.7500 0.7500
4 Si 0.2500 0.2500 0.2500

Sorted by energy, starting with the most stable: arrangement A, arrangement B.

Arrangement A

SmDyCu | PBE | optimized geometry

## Properties
- Density: 8.233 g/cm3
- SG: Pnma

a = 6.9951 Å, b = 4.9449 Å, c = 8.7790 Å
α = 90.00°, β = 90.00°, γ = 90.00°
Sites, in units of the cell vectors:
1 Sm 0.0138 0.2500 0.1740
2 Sm 0.4862 0.7500 0.6740
3 Sm 0.5138 0.2500 0.3260
4 Sm 0.9862 0.7500 0.8260
5 Dy 0.1420 0.2500 0.5854
6 Dy 0.3580 0.7500 0.0854
7 Dy 0.6420 0.2500 0.9146
8 Dy 0.8580 0.7500 0.4146
9 Cu 0.2452 0.2500 0.9012
10 Cu 0.2548 0.7500 0.4012
11 Cu 0.7452 0.2500 0.5988
12 Cu 0.7548 0.7500 0.0988

Arrangement B

SmDyCu | PBE | optimized geometry

## Properties
- Density: 8.133 g/cm3
- SG: I4mm

a = 6.7136 Å, b = 6.7136 Å, c = 6.7136 Å
α = 149.69°, β = 149.69°, γ = 43.39°
Sites, in units of the cell vectors:
1 Sm 0.0000 0.0000 0.0000
2 Dy 0.7219 0.7219 0.0000
3 Cu 0.3516 0.3516 0.0000

Arrangement C

SmDyCu | PBE | optimized geometry

## Properties
- Density: 8.165 g/cm3
- SG: P2_1/m

a = 3.7152 Å, b = 4.6543 Å, c = 9.0462 Å
α = 90.00°, β = 101.81°, γ = 90.00°
Sites, in units of the cell vectors:
1 Sm 0.2024 0.2500 0.4032
2 Sm 0.7976 0.7500 0.5968
3 Dy 0.4150 0.2500 0.8325
4 Dy 0.5850 0.7500 0.1675
5 Cu 0.0370 0.2500 0.0739
6 Cu 0.9630 0.7500 0.9261

Arrangement D

SmDyCu | PBE | optimized geometry

## Properties
- Density: 7.808 g/cm3
- SG: P3m1

a = 3.6146 Å, b = 3.6146 Å, c = 7.0750 Å
α = 90.00°, β = 90.00°, γ = 120.00°
Sites, in units of the cell vectors:
1 Sm 0.0000 0.0000 0.0000
2 Dy 0.3333 0.6667 0.5765
3 Cu 0.6667 0.3333 0.2968

Sorted by energy, starting with the most stable: arrangement A, arrangement C, arrangement B, arrangement D.

Arrangement A

SmDyCu | PBE | optimized geometry

## Properties
- Density: 7.551 g/cm3
- SG: F-43m

a = 4.8918 Å, b = 4.8918 Å, c = 4.8918 Å
α = 60.00°, β = 60.00°, γ = 60.00°
Sites, in units of the cell vectors:
1 Sm 0.0000 0.0000 0.0000
2 Dy 0.5000 0.5000 0.5000
3 Cu 0.7500 0.7500 0.7500

Arrangement B

SmDyCu | PBE | optimized geometry

## Properties
- Density: 8.063 g/cm3
- SG: C2/m

a = 6.5853 Å, b = 6.5853 Å, c = 8.1520 Å
α = 125.07°, β = 125.07°, γ = 33.23°
Sites, in units of the cell vectors:
1 Sm 0.0975 0.0975 0.3833
2 Sm 0.9025 0.9025 0.6167
3 Dy 0.3410 0.3410 0.9367
4 Dy 0.6590 0.6590 0.0633
5 Cu 0.3767 0.3767 0.3232
6 Cu 0.6233 0.6233 0.6768

Sorted by energy, starting with the most stable: arrangement B, arrangement A.

Arrangement A

SmDy3Cu2 | PBE | optimized geometry

## Properties
- Density: 7.677 g/cm3
- SG: Ibam

a = 8.3655 Å, b = 8.3655 Å, c = 8.3655 Å
α = 131.74°, β = 72.70°, γ = 129.16°
Sites, in units of the cell vectors:
1 Sm 0.0000 0.0000 0.0000
2 Sm 0.5000 0.5000 0.0000
3 Dy 0.0139 0.2500 0.7639
4 Dy 0.2500 0.7500 0.5000
5 Dy 0.4861 0.2500 0.2361
6 Dy 0.5139 0.7500 0.7639
7 Dy 0.7500 0.2500 0.5000
8 Dy 0.9861 0.7500 0.2361
9 Cu 0.1425 0.7072 0.8497
10 Cu 0.3575 0.2072 0.5647
11 Cu 0.6425 0.7928 0.4353
12 Cu 0.8575 0.2928 0.1503

Arrangement B

SmDy3Cu2 | PBE | optimized geometry

## Properties
- Density: 8.542 g/cm3
- SG: P4/mmm

a = 3.4945 Å, b = 3.4945 Å, c = 12.1769 Å
α = 90.00°, β = 90.00°, γ = 90.00°
Sites, in units of the cell vectors:
1 Sm 0.0000 0.0000 0.0000
2 Dy 0.5000 0.5000 0.2194
3 Dy 0.5000 0.5000 0.5000
4 Dy 0.5000 0.5000 0.7806
5 Cu 0.0000 0.0000 0.3585
6 Cu 0.0000 0.0000 0.6415

Sorted by energy, starting with the most stable: arrangement B, arrangement A.

Arrangement A

SmDyZnCu | PBE | optimized geometry

## Properties
- Density: 8.155 g/cm3
- SG: P4mm

a = 3.5485 Å, b = 3.5485 Å, c = 7.1450 Å
α = 90.00°, β = 90.00°, γ = 90.00°
Sites, in units of the cell vectors:
1 Sm 0.0000 0.0000 0.0000
2 Dy 0.0000 0.0000 0.4874
3 Zn 0.5000 0.5000 0.7351
4 Cu 0.5000 0.5000 0.2587

Arrangement B

SmDyZnCu | PBE | optimized geometry

## Properties
- Density: 8.148 g/cm3
- SG: F-43m

a = 5.0310 Å, b = 5.0310 Å, c = 5.0310 Å
α = 60.00°, β = 60.00°, γ = 60.00°
Sites, in units of the cell vectors:
1 Sm 0.0000 0.0000 0.0000
2 Dy 0.5000 0.5000 0.5000
3 Zn 0.2500 0.2500 0.2500
4 Cu 0.7500 0.7500 0.7500

Sorted by energy, starting with the most stable: arrangement A, arrangement B.